Record 1
DFT (PBE) results for a relaxed NaPaPt2 crystal.

Results
As for the formation energy: -0.65 eV/atom. The energy relative to the lowest polymorph listed for this composition comes out at 0.000 eV/atom.

Cell lengths 3.443, 3.443, 7.405 Å; angles 90.00, 90.00, 90.00 degrees
Space group P4/mmm (No. 123)
Inequivalent atoms, fractional coordinates:
Na 0.000 0.000 0.000 x1
Pa 0.000 0.000 0.500 x1
Pt 0.500 0.500 0.283 x2



Record 2
DFT (PBE) results for a relaxed Ce4PRh12 crystal.

Results
As for the formation energy: -0.76 eV/atom.

Cell lengths 8.290, 8.290, 8.290 Å; angles 90.00, 90.00, 90.00 degrees
Space group Im-3m (No. 229)
Inequivalent atoms, fractional coordinates:
Ce 0.250 0.250 0.250 x8
P 0.000 0.000 0.000 x2
Rh 0.000 0.000 0.274 x12
Rh 0.000 0.250 0.500 x12



Record 3
DFT (PBE) results for a relaxed MgTcSb crystal.

Results
As for the uncorrected formation energy: -112 meV/atom. The energy relative to the lowest polymorph listed for this composition comes out at 0.026 eV/atom.

Cell lengths 3.432, 3.432, 9.115 Å; angles 90.00, 90.00, 90.00 degrees
Space group I4mm (No. 107)
Inequivalent atoms, fractional coordinates:
Mg 0.000 0.000 0.000 x2
Tc 0.000 0.000 0.331 x2
Sb 0.000 0.000 0.685 x2



| no. | M_tot (μB/atom) |
| --- | --- |
| 1 | 0.0000 |
| 2 | 0.0000 |
| 3 | 0.0000 |